Below is a geometry-optimized PaHgPb structure, with properties calculated at the PBE level.

The formation energy is 0.53 eV/f.u. As for the density: 13.28 g cm⁻³. The calculation puts the uncorrected energy at -4.32 eV per atom.

Cell and atoms, written as POSCAR:
```
PaHgPb
1.0
-0.488 2.140 -2.411
1.067 -2.194 -2.163
-7.301 -2.538 1.430
Hg Pa Pb
1 1 1
Cartesian
-2.127 -0.911 -2.583 Hg
-4.611 -1.687 -0.564 Pa
-6.707 -2.586 -3.143 Pb
```